Entry 1:
Entry from the Alexandria database: crystalline Sm8ZnCd2 at its relaxed geometry (PBE).

Cell lengths 5.3410, 7.0156, 9.5657 Å; angles 105.09, 106.21, 90.00 degrees
Closest atoms and distances in Å follow each position.
Sites, in units of the cell vectors:
Zn1 0.5000 0.0000 0.0000  8 Sm 3.01-3.18
Sm1 0.1985 0.2949 0.3971  1 Cd 3.08
Sm2 0.5916 0.4541 0.1832  1 Zn 3.17, 2 Cd 3.44, 3 Sm 3.47
Sm3 0.6600 0.9669 0.3201  1 Zn 3.01, 3 Cd 3.09-3.27
Sm4 0.8015 0.7051 0.6029  1 Cd 3.08
Sm5 0.4084 0.5459 0.8168  1 Zn 3.17, 2 Cd 3.44, 3 Sm 3.47
Sm6 0.9810 0.2285 0.9620  1 Cd 3.15, 2 Zn 3.18, 3 Sm 3.46-3.47
Sm7 0.0190 0.7715 0.0380  1 Cd 3.15, 2 Zn 3.18, 3 Sm 3.46-3.47
Sm8 0.3400 0.0331 0.6799  1 Zn 3.01, 3 Cd 3.09-3.27
Cd1 0.8159 0.2785 0.6317  7 Sm 3.08-3.44
Cd2 0.1841 0.7215 0.3683  7 Sm 3.08-3.44

=====

Entry 2:
Entry from the Alexandria database: crystalline SmZn2Cd10 at its relaxed geometry (PBE).

Cell lengths 5.8365, 7.5107, 7.5266 Å; angles 81.39, 67.19, 67.29 degrees
Closest atoms and distances in Å follow each position.
Sites, in units of the cell vectors:
Cd1 0.6522 0.3557 0.3396  2 Zn 2.95, 7 Cd 2.99-3.27
Cd2 0.0081 0.6443 0.3396  2 Zn 2.95, 7 Cd 2.99-3.27
Cd3 0.5000 0.0000 0.5000  10 Cd 2.92-3.08
Cd4 0.2849 0.2217 0.2089  2 Zn 2.82, 5 Cd 2.90-3.07
Cd5 0.5062 0.7783 0.2089  2 Zn 2.82, 5 Cd 2.90-3.07
Cd6 0.0000 0.0000 0.5000  10 Cd 2.92-3.08
Cd7 0.9919 0.3557 0.6604  2 Zn 2.95, 7 Cd 2.99-3.27
Cd8 0.3478 0.6443 0.6604  2 Zn 2.95, 7 Cd 2.99-3.27
Cd9 0.7151 0.7783 0.7911  2 Zn 2.82, 5 Cd 2.90-3.07
Cd10 0.4938 0.2217 0.7911  2 Zn 2.82, 5 Cd 2.90-3.07
Zn1 0.5000 0.5000 0.0000  8 Cd 2.82-2.95, 2 Zn 2.92
Zn2 0.0000 0.5000 0.0000  8 Cd 2.82-2.95, 2 Zn 2.92
Sm1 0.0000 0.0000 0.0000  16 Cd 3.41-3.76, 4 Zn 3.76

=====

| no. | M_tot (μB per formula unit) | VASP energy (eV per atom) |
| --- | --- | --- |
| 1 | 0.00 | -3.833 |
| 2 | 0.00 | -1.369 |